Here is a relaxed structure of CaSb4H6S2O16 from Alexandria via LeMat-Bulk. Energies are from GGA-PBEsol.

Unit cell a=5.5633 b=10.1520 c=12.5476 alpha=95.31 beta=102.81 gamma=90.00
Element x y z (fractional)
H 0.1823 0.7213 0.2388
Sb 0.2060 0.4879 0.4131
O 0.4489 0.3882 0.5227
O 0.4972 0.3878 0.8579
S 0.3992 0.5214 0.8425
O 0.2841 0.9612 0.1168
O 0.9372 0.7660 0.6785
O 0.0750 0.6156 0.5228
O 0.6682 0.8733 0.0946
O 0.2588 0.7340 0.3215
Sb 0.3750 0.2635 0.6329
O 0.6392 0.1122 0.1421
H 0.8423 0.8892 0.8903
Sb 0.2579 0.7635 0.6329
H 0.9519 0.6108 0.1097
O 0.9250 0.3844 0.4772
O 0.7159 0.0388 0.8832
O 0.4478 0.1156 0.5228
O 0.0628 0.2340 0.3215
H 0.2254 0.2668 0.1131
O 0.9740 0.2974 0.8831
O 0.9091 0.7974 0.8831
O 0.1674 0.5388 0.8832
H 0.0565 0.2213 0.2388
O 0.0260 0.7026 0.1169
O 0.7412 0.2660 0.6785
S 0.4432 0.0214 0.8425
O 0.3486 0.5378 0.7220
S 0.5568 0.9786 0.1575
H 0.1577 0.1108 0.1097
Sb 0.7929 0.0121 0.5869
H 0.1123 0.2332 0.8869
O 0.6266 0.9622 0.2780
H 0.9435 0.7787 0.7612
O 0.4265 0.3733 0.0946
O 0.5511 0.6118 0.4773
H 0.8877 0.7668 0.1131
Sb 0.7940 0.5121 0.5869
Ca 0.7054 0.2500 0.0000
Sb 0.6250 0.7365 0.3671
O 0.5735 0.6267 0.9054
H 0.8177 0.2787 0.7612
O 0.5522 0.8844 0.4772
O 0.9262 0.1118 0.4773
H 0.7746 0.7332 0.8869
O 0.8326 0.4612 0.1168
S 0.6008 0.4786 0.1575
O 0.0738 0.8882 0.5227
Sb 0.2071 0.9879 0.4131
O 0.3734 0.0378 0.7220
Ca 0.2946 0.7500 0.0000
O 0.3318 0.1267 0.9054
O 0.3608 0.8878 0.8579
H 0.0481 0.3892 0.8903
O 0.6514 0.4622 0.2780
Sb 0.7421 0.2365 0.3671
O 0.5028 0.6122 0.1421
O 0.0909 0.2026 0.1169

calculated volume = 11.861 Å³/atom
raw total energy = -351.02 eV per cell
M_tot = 0.0 μB/f.u.
SG = C2/c, No. 15


Here is a relaxed structure of CaScSi3HO9 from Alexandria via LeMat-Bulk. Energies are from GGA-PBEsol.

Unit cell a=6.7665 b=7.0704 c=7.4883 alpha=104.44 beta=93.24 gamma=92.30
Element x y z (fractional)
O 0.6635 0.8747 0.5637
O 0.2827 0.9619 0.0777
O 0.3365 0.1253 0.4363
Si 0.1414 0.5217 0.2776
O 0.6706 0.4206 0.5633
O 0.3988 0.6727 0.8238
O 0.2019 0.5921 0.0955
O 0.6012 0.3273 0.1762
O 0.9038 0.7145 0.7834
H 0.9683 0.8297 0.3120
Si 0.3676 0.7391 0.0427
H 0.0317 0.1703 0.6880
Si 0.1746 0.0864 0.2586
Sc 0.3558 0.4044 0.6401
Si 0.8586 0.4783 0.7224
O 0.0550 0.3678 0.6478
O 0.7173 0.0381 0.9223
O 0.3294 0.5794 0.4367
Sc 0.6442 0.5956 0.3599
O 0.0962 0.2855 0.2166
O 0.9718 0.9700 0.2918
O 0.4363 0.2408 0.8172
O 0.7981 0.4079 0.9045
O 0.0282 0.0300 0.7082
Ca 0.3404 0.9151 0.6694
Si 0.8254 0.9136 0.7414
O 0.9450 0.6322 0.3522
O 0.5637 0.7592 0.1828
Ca 0.6596 0.0849 0.3306
Si 0.6324 0.2609 0.9573

calculated volume = 11.528 Å³/atom
raw total energy = -239.15 eV per cell
M_tot = 0.0 μB/f.u.
SG = P-1, No. 2


Here is a relaxed structure of CaVSi4H6O15 from Alexandria via LeMat-Bulk. Energies are from GGA-PBEsol.

Unit cell a=8.6127 b=8.6127 c=9.1304 alpha=90.00 beta=90.00 gamma=105.96
Site moments in Bohr magnetons follow the coordinates.
Element x y z (fractional)
O 0.8710 0.8710 0.2892  0.00
O 0.5341 0.0170 0.9994  0.00
O 0.9899 0.1733 0.4023  0.00
Si 0.6428 0.0673 0.5648  0.00
H 0.3813 0.3813 0.7754  0.00
O 0.1192 0.6267 0.7339  0.00
Si 0.9327 0.3572 0.0648  0.00
O 0.9602 0.7732 0.5552  0.00
O 0.1733 0.9899 0.4023  0.00
O 0.2878 0.7706 0.9631  0.00
O 0.7706 0.2878 0.9631  0.00
O 0.7460 0.4966 0.7289  0.06
H 0.6089 0.6089 0.0665  -0.01
Si 0.6877 0.1058 0.9007  0.00
H 0.6187 0.6187 0.2754  0.00
Si 0.3572 0.9327 0.0648  0.00
Si 0.1058 0.6877 0.9007  0.00
Ca 0.2313 0.2313 0.2563  -0.01
Ca 0.7687 0.7687 0.7563  -0.01
V 0.9503 0.9503 0.4376  -0.01
O 0.7732 0.9602 0.5552  0.00
H 0.7650 0.4325 0.8129  0.00
O 0.0398 0.2268 0.0552  0.00
Si 0.0673 0.6428 0.5648  0.00
O 0.0101 0.8267 0.9023  0.00
O 0.4659 0.9830 0.4994  0.00
O 0.4966 0.7460 0.7289  0.06
O 0.8267 0.0101 0.9023  0.00
H 0.3911 0.3911 0.5665  -0.01
O 0.7122 0.2294 0.4631  0.00
H 0.5675 0.2350 0.3129  0.00
O 0.6427 0.6427 0.9527  0.67
O 0.3733 0.8808 0.2339  0.00
O 0.3573 0.3573 0.4527  0.67
O 0.4465 0.4465 0.6985  0.02
O 0.2268 0.0398 0.0552  0.00
H 0.4615 0.6179 0.7177  0.00
O 0.1290 0.1290 0.7892  0.00
H 0.3821 0.5385 0.2177  0.00
O 0.2294 0.7122 0.4631  0.00
H 0.4325 0.7650 0.8129  0.00
O 0.0170 0.5341 0.9994  0.00
O 0.6267 0.1192 0.7339  0.00
V 0.0497 0.0497 0.9376  -0.01
H 0.6179 0.4615 0.7177  0.00
Si 0.8942 0.3123 0.4007  0.00
O 0.2540 0.5034 0.2289  0.06
O 0.8808 0.3733 0.2339  0.00
Si 0.3123 0.8942 0.4007  0.00
H 0.2350 0.5675 0.3129  0.00
O 0.5535 0.5535 0.1985  0.02
O 0.9830 0.4659 0.4994  0.00
O 0.5034 0.2540 0.2289  0.06
H 0.5385 0.3821 0.2177  0.00

calculated volume = 12.058 Å³/atom
raw total energy = -377.04 eV per cell
M_tot = 1.0 μB/f.u.
SG = Cmc2_1, No. 36


Here is a relaxed structure of CaZnSiH2O5 from Alexandria via LeMat-Bulk. Energies are from GGA-PBEsol.

Unit cell a=5.0812 b=5.4068 c=8.3268 alpha=86.13 beta=72.24 gamma=77.21
Element x y z (fractional)
O 0.5612 0.5505 0.0876
Ca 0.9279 0.3551 0.8566
Zn 0.7556 0.4939 0.4998
O 0.1043 0.1422 0.0824
O 0.6488 0.0505 0.9124
O 0.1868 0.6422 0.9176
H 0.3186 0.1035 0.0222
H 0.2339 0.7823 0.8343
O 0.4345 0.6480 0.4146
O 0.3272 0.0362 0.7148
H 0.0682 0.2823 0.1657
Si 0.6539 0.9737 0.7252
O 0.8491 0.1480 0.5854
H 0.3408 0.6035 0.9778
O 0.7958 0.6745 0.6819
Si 0.3790 0.4737 0.2748
O 0.0420 0.5362 0.2852
Zn 0.2554 0.9939 0.5002
O 0.4777 0.1745 0.3181
Ca 0.7844 0.8551 0.1434

calculated volume = 10.622 Å³/atom
raw total energy = -127.52 eV per cell
M_tot = 0.0 μB/f.u.
SG = Cc, No. 9


Here is a relaxed structure of CaTi2H2O6 from Alexandria via LeMat-Bulk. Energies are from GGA-PBEsol.

Unit cell a=4.9197 b=12.0574 c=15.8018 alpha=90.00 beta=98.80 gamma=90.00
Element x y z (fractional)
Ti 0.7234 0.4866 0.9382
H 0.9343 0.3005 0.7084
Ca 0.0851 0.6879 0.8737
H 0.2120 0.1564 0.8054
O 0.5605 0.2882 0.3800
Ca 0.9149 0.3121 0.1263
H 0.4343 0.1995 0.2084
O 0.6685 0.3113 0.5471
H 0.5340 0.9222 0.2037
O 0.0404 0.3981 0.9874
O 0.5456 0.4023 0.0416
O 0.6727 0.1550 0.1624
O 0.7356 0.7802 0.7645
O 0.9596 0.6019 0.0126
O 0.2870 0.9811 0.1341
O 0.0605 0.2118 0.8800
O 0.1685 0.1887 0.0471
Ti 0.0262 0.5897 0.4277
O 0.8273 0.6550 0.3376
Ca 0.4795 0.5508 0.2594
Ti 0.5262 0.9103 0.9277
O 0.8180 0.5346 0.8422
Ca 0.0205 0.0508 0.2406
Ca 0.5205 0.4492 0.7406
Ti 0.4166 0.3870 0.4505
O 0.7307 0.4967 0.4647
Ti 0.4738 0.0897 0.0723
O 0.7890 0.3926 0.2626
O 0.6149 0.1916 0.9829
H 0.6550 0.7542 0.7054
O 0.2693 0.5033 0.5353
O 0.7693 0.9967 0.0353
Ti 0.2234 0.0134 0.4382
Ca 0.5851 0.8121 0.3737
Ti 0.5834 0.6130 0.5495
O 0.2644 0.2198 0.2355
O 0.5404 0.1019 0.4874
O 0.7110 0.8926 0.2374
O 0.2307 0.0033 0.9647
O 0.3180 0.9654 0.3422
O 0.7870 0.5189 0.6341
Ti 0.6745 0.6968 0.0423
H 0.2880 0.6564 0.6946
Ca 0.4149 0.1879 0.6263
H 0.7120 0.3436 0.3054
O 0.8851 0.6916 0.5171
H 0.4660 0.0778 0.7963
O 0.9395 0.7882 0.1200
O 0.2130 0.4811 0.3659
Ti 0.2766 0.5134 0.0618
O 0.1149 0.3084 0.4829
H 0.7880 0.8436 0.1946
Ti 0.9166 0.1130 0.9505
O 0.4650 0.3799 0.8751
Ti 0.8255 0.1968 0.4577
O 0.5350 0.6201 0.1249
H 0.0657 0.6995 0.2916
Ca 0.9795 0.9492 0.7594
O 0.1727 0.3450 0.6624
O 0.3851 0.8084 0.0171
H 0.5657 0.8005 0.7916
O 0.4395 0.7118 0.6200
H 0.1550 0.7458 0.2054
O 0.2110 0.6074 0.7374
Ti 0.0834 0.8870 0.0495
Ti 0.1745 0.8032 0.5423
O 0.8315 0.8113 0.9529
Ti 0.7766 0.9866 0.5618
O 0.7644 0.2802 0.7355
H 0.9660 0.4222 0.2963
O 0.4544 0.5977 0.9584
Ti 0.9738 0.4103 0.5723
O 0.9544 0.9023 0.4584
O 0.4596 0.8981 0.5126
O 0.0456 0.0977 0.5416
O 0.1820 0.4654 0.1578
O 0.3315 0.6887 0.4529
O 0.2890 0.1074 0.7626
O 0.2356 0.7198 0.2645
O 0.7130 0.0189 0.8659
H 0.3450 0.2458 0.2946
H 0.8450 0.2542 0.7946
H 0.0340 0.5778 0.7037
O 0.6820 0.0346 0.6578
O 0.0350 0.8799 0.6249
O 0.3273 0.8450 0.8376
O 0.9650 0.1201 0.3751
Ti 0.3255 0.3032 0.9577

calculated volume = 10.526 Å³/atom
raw total energy = -682.75 eV per cell
M_tot = 0.0 μB/f.u.
SG = P2_1/c, No. 14


Here is a relaxed structure of CaZnH2O from Alexandria via LeMat-Bulk. Energies are from GGA-PBEsol.

Unit cell a=3.2750 b=3.2750 c=7.3339 alpha=90.00 beta=90.00 gamma=90.00
Element x y z (fractional)
Zn 0.0000 0.0000 0.0000
Ca 0.0000 0.0000 0.5000
O 0.5000 0.5000 0.5000
H 0.5000 0.0000 0.0000
H 0.0000 0.5000 0.0000

calculated volume = 15.733 Å³/atom
raw total energy = -19.10 eV per cell
M_tot = 0.0 μB/f.u.
SG = P4/mmm, No. 123